Computed, not measured: LaMn2O after structural relaxation at the PBE+U level of DFT.

- total magnetic moment (μB/atom) = 1.39
- VASP energy (eV per atom) = -6.512

Unit cell a=6.161 b=6.161 c=6.165 alpha=60.02 beta=60.02 gamma=90.00
Positions (direct):
Mn  0.374  0.125  0.250
Mn  0.376  0.625  0.250
Mn  0.375  0.626  0.750
Mn  0.875  0.624  0.750
O  0.500  0.500  0.000
O  0.250  0.750  0.500
La  0.000  0.000  0.000
La  0.750  0.250  0.500



Computed, not measured: La5MnOs3O16 after structural relaxation at the PBE+U level of DFT.

- total magnetic moment (μB/atom) = 0.31
- VASP energy (eV per atom) = -8.151

Unit cell a=5.718 b=5.725 c=10.220 alpha=94.13 beta=93.95 gamma=90.83
Positions (direct):
La  0.508  0.029  0.205
La  0.492  0.971  0.795
La  0.032  0.505  0.210
La  0.968  0.495  0.790
La  0.000  0.000  0.500
Mn  0.500  0.500  0.000
Os  0.449  0.447  0.607
Os  0.551  0.553  0.393
Os  0.000  0.000  0.000
O  0.317  0.309  0.433
O  0.683  0.691  0.567
O  0.231  0.222  0.675
O  0.769  0.778  0.325
O  0.544  0.543  0.797
O  0.456  0.457  0.203
O  0.918  0.919  0.812
O  0.082  0.081  0.188
O  0.701  0.218  0.632
O  0.299  0.782  0.368
O  0.210  0.690  0.632
O  0.790  0.310  0.368
O  0.301  0.824  0.995
O  0.699  0.176  0.005
O  0.829  0.706  0.036
O  0.171  0.294  0.964



Computed, not measured: LaMnP2O after structural relaxation at the PBE+U level of DFT.

- total magnetic moment (μB/atom) = 0.67
- VASP energy (eV per atom) = -5.601
- E above lowest polymorph (meV/atom) = 770.4

Unit cell a=5.684 b=5.684 c=4.215 alpha=90.00 beta=90.00 gamma=90.00
Positions (direct):
P  0.000  0.500  0.000
P  0.500  0.000  0.000
Mn  0.500  0.500  0.500
O  0.000  0.000  0.500
La  0.000  0.000  0.000



Computed, not measured: La2MnPO8 after structural relaxation at the PBE+U level of DFT.

- total magnetic moment (μB/atom) = 0.24
- VASP energy (eV per atom) = -7.307

Unit cell a=6.555 b=6.555 c=4.704 alpha=90.00 beta=90.00 gamma=120.00
Positions (direct):
La  0.667  0.333  0.764
La  0.333  0.667  0.236
Mn  0.000  0.000  0.500
P  0.000  0.000  0.000
O  0.880  0.760  0.780
O  0.240  0.120  0.780
O  0.880  0.120  0.780
O  0.120  0.240  0.220
O  0.760  0.880  0.220
O  0.120  0.880  0.220
O  0.667  0.333  0.281
O  0.333  0.667  0.719



Computed, not measured: LaMnP2O after structural relaxation at the PBE+U level of DFT.

- total magnetic moment (μB/atom) = 0.53
- VASP energy (eV per atom) = -6.371
- E above lowest polymorph (meV/atom) = 0.0

Unit cell a=4.838 b=4.838 c=3.910 alpha=90.00 beta=90.00 gamma=90.00
Positions (direct):
P  0.000  0.500  0.000
P  0.500  0.000  0.000
Mn  0.000  0.000  0.000
O  0.000  0.000  0.500
La  0.500  0.500  0.500



Computed, not measured: LaPaMn2O8 after structural relaxation at the PBE+U level of DFT.

- total magnetic moment (μB/atom) = 0.50
- VASP energy (eV per atom) = -8.013

Unit cell a=5.293 b=5.293 c=6.700 alpha=113.27 beta=113.27 gamma=90.00
Positions (direct):
La  0.750  0.250  0.500
Pa  0.000  0.000  0.000
Mn  0.500  0.500  0.000
Mn  0.250  0.750  0.500
O  0.747  0.808  0.163
O  0.417  0.355  0.163
O  0.628  0.701  0.690
O  0.062  0.989  0.690
O  0.011  0.372  0.310
O  0.299  0.938  0.310
O  0.192  0.583  0.837
O  0.645  0.253  0.837



Computed, not measured: Rb4La3MnO8 after structural relaxation at the PBE+U level of DFT.

- total magnetic moment (μB/atom) = 0.25
- VASP energy (eV per atom) = -6.380

Unit cell a=7.098 b=7.688 c=7.450 alpha=116.45 beta=118.45 gamma=90.00
Positions (direct):
Rb  0.500  0.000  0.000
Rb  0.500  0.000  0.500
Rb  0.000  0.000  0.000
Rb  0.000  0.000  0.500
La  0.500  0.500  0.000
La  0.500  0.500  0.500
La  0.000  0.500  0.500
Mn  0.000  0.500  0.000
O  0.184  0.655  0.951
O  0.269  0.718  0.538
O  0.285  0.319  0.569
O  0.767  0.655  0.951
O  0.233  0.345  0.049
O  0.715  0.681  0.431
O  0.731  0.282  0.462
O  0.816  0.345  0.049



Computed, not measured: RbLaMn2O after structural relaxation at the PBE+U level of DFT.

- total magnetic moment (μB/atom) = 1.64
- VASP energy (eV per atom) = -3.703

Unit cell a=5.652 b=8.769 c=5.652 alpha=90.00 beta=90.00 gamma=90.00
Positions (direct):
Mn  0.000  0.000  0.500
Mn  0.500  0.000  0.000
O  0.500  0.500  0.500
Rb  0.000  0.500  0.000
La  0.000  0.000  0.000



Computed, not measured: Rb3La2MnO6 after structural relaxation at the PBE+U level of DFT.

- total magnetic moment (μB/atom) = 0.17
- VASP energy (eV per atom) = -6.198

Unit cell a=6.134 b=6.134 c=6.946 alpha=100.01 beta=100.01 gamma=117.11
Positions (direct):
Rb  0.162  0.838  0.500
Rb  0.838  0.162  0.500
Rb  0.500  0.500  0.500
La  0.334  0.666  0.000
La  0.666  0.334  0.000
Mn  0.000  0.000  0.000
O  0.941  0.659  0.841
O  0.716  0.716  0.208
O  0.059  0.341  0.159
O  0.659  0.941  0.841
O  0.284  0.284  0.792
O  0.341  0.059  0.159



Computed, not measured: La5MnRe3O16 after structural relaxation at the PBE+U level of DFT.

- total magnetic moment (μB/atom) = 0.04
- VASP energy (eV per atom) = -8.421

Unit cell a=5.678 b=5.686 c=10.264 alpha=93.62 beta=93.48 gamma=90.75
Positions (direct):
La  0.000  0.000  0.500
La  0.514  0.026  0.199
La  0.486  0.974  0.801
La  0.033  0.507  0.207
La  0.967  0.493  0.793
Mn  0.500  0.500  0.000
Re  0.000  0.000  0.000
Re  0.445  0.445  0.606
Re  0.555  0.555  0.394
O  0.310  0.305  0.435
O  0.690  0.695  0.565
O  0.224  0.219  0.676
O  0.776  0.781  0.324
O  0.547  0.548  0.801
O  0.453  0.452  0.199
O  0.927  0.922  0.817
O  0.073  0.078  0.183
O  0.704  0.229  0.636
O  0.296  0.771  0.364
O  0.222  0.696  0.635
O  0.778  0.304  0.365
O  0.302  0.811  0.999
O  0.698  0.189  0.001
O  0.819  0.713  0.037
O  0.181  0.287  0.963



Computed, not measured: La2MnRuO6 after structural relaxation at the PBE+U level of DFT.

- total magnetic moment (μB/atom) = 0.30
- VASP energy (eV per atom) = -8.022

Unit cell a=5.818 b=5.626 c=9.775 alpha=55.05 beta=90.00 gamma=90.00
Positions (direct):
La  0.940  0.264  0.750
La  0.440  0.736  0.750
La  0.060  0.736  0.250
La  0.560  0.264  0.250
Mn  0.000  0.000  0.500
Mn  0.500  0.000  0.000
Ru  0.000  0.500  0.000
Ru  0.500  0.500  0.500
O  0.711  0.364  0.945
O  0.211  0.636  0.555
O  0.306  0.254  0.451
O  0.806  0.746  0.049
O  0.289  0.636  0.055
O  0.789  0.364  0.445
O  0.694  0.746  0.549
O  0.194  0.254  0.951
O  0.529  0.157  0.744
O  0.029  0.843  0.756
O  0.471  0.843  0.256
O  0.971  0.157  0.244



Computed, not measured: SrLaMnRuO6 after structural relaxation at the PBE+U level of DFT.

- total magnetic moment (μB/atom) = 0.80
- VASP energy (eV per atom) = -7.485
- E above lowest polymorph (meV/atom) = 0.0

Unit cell a=5.665 b=8.055 c=5.802 alpha=90.00 beta=90.00 gamma=90.14
Positions (direct):
Sr  0.991  0.250  0.957
Sr  0.491  0.750  0.543
La  0.512  0.252  0.449
La  0.012  0.752  0.051
Mn  0.501  0.501  0.994
Mn  0.001  0.001  0.506
Ru  0.500  0.000  0.000
Ru  0.000  0.500  0.500
O  0.426  0.239  0.029
O  0.926  0.739  0.471
O  0.798  0.455  0.226
O  0.298  0.955  0.274
O  0.777  0.039  0.203
O  0.277  0.539  0.297
O  0.093  0.261  0.521
O  0.593  0.761  0.979
O  0.714  0.454  0.691
O  0.214  0.954  0.809
O  0.687  0.048  0.714
O  0.187  0.548  0.786



Computed, not measured: SrLaMnRuO6 after structural relaxation at the PBE+U level of DFT.

- total magnetic moment (μB/atom) = 0.80
- VASP energy (eV per atom) = -7.470
- E above lowest polymorph (meV/atom) = 15.0

Unit cell a=5.654 b=5.654 c=5.654 alpha=61.37 beta=61.37 gamma=61.37
Positions (direct):
Sr  0.248  0.248  0.248
La  0.754  0.754  0.754
Mn  0.499  0.499  0.499
Ru  0.999  0.999  0.999
O  0.767  0.325  0.155
O  0.155  0.767  0.325
O  0.325  0.155  0.767
O  0.693  0.828  0.232
O  0.828  0.232  0.693
O  0.232  0.693  0.828



Computed, not measured: Sr3La3Mn3RuO14 after structural relaxation at the PBE+U level of DFT.

- total magnetic moment (μB/atom) = 0.42
- VASP energy (eV per atom) = -7.463

Unit cell a=10.662 b=10.662 c=5.595 alpha=90.00 beta=90.00 gamma=149.54
Positions (direct):
Sr  0.001  0.999  0.500
Sr  0.183  0.817  0.500
Sr  0.685  0.315  0.000
La  0.505  0.495  0.000
La  0.318  0.682  0.000
La  0.820  0.180  0.500
Mn  0.402  0.598  0.500
Mn  0.903  0.097  0.000
Mn  0.102  0.898  0.000
Ru  0.601  0.399  0.500
O  0.803  0.197  0.000
O  0.299  0.701  0.500
O  0.702  0.298  0.500
O  0.206  0.794  0.000
O  0.650  0.851  0.753
O  0.149  0.350  0.247
O  0.149  0.350  0.753
O  0.650  0.851  0.247
O  0.834  0.646  0.752
O  0.354  0.166  0.248
O  0.354  0.166  0.752
O  0.834  0.646  0.248
O  0.503  0.497  0.500
O  0.996  0.004  0.000



Computed, not measured: LaMnSO2 after structural relaxation at the PBE+U level of DFT.

- total magnetic moment (μB/atom) = 0.80
- VASP energy (eV per atom) = -7.412

Unit cell a=5.455 b=5.582 c=6.421 alpha=115.77 beta=90.00 gamma=90.00
Positions (direct):
La  0.250  0.638  0.275
La  0.750  0.362  0.725
Mn  0.250  0.998  0.996
Mn  0.750  0.002  0.004
S  0.750  0.764  0.528
S  0.250  0.236  0.472
O  0.500  0.242  0.000
O  0.000  0.758  0.000
O  0.500  0.758  0.000
O  0.000  0.242  0.000



Computed, not measured: La2MnS2O2 after structural relaxation at the PBE+U level of DFT.

- total magnetic moment (μB/atom) = 0.71
- VASP energy (eV per atom) = -7.517

Unit cell a=3.917 b=6.154 c=6.626 alpha=65.78 beta=72.81 gamma=71.44
Positions (direct):
La  0.191  0.350  0.268
La  0.809  0.650  0.732
Mn  0.000  0.000  0.000
S  0.561  0.196  0.682
S  0.439  0.804  0.318
O  0.199  0.686  0.915
O  0.801  0.314  0.085



Computed, not measured: La2Mn3Sb3O14 after structural relaxation at the PBE+U level of DFT.

- total magnetic moment (μB/atom) = 0.55
- VASP energy (eV per atom) = -7.138

Unit cell a=7.422 b=7.313 c=7.313 alpha=119.42 beta=119.26 gamma=60.74
Positions (direct):
La  0.000  0.500  0.500
La  0.500  0.500  0.500
Mn  0.500  0.000  0.000
Mn  0.000  0.500  0.000
Mn  0.000  0.000  0.500
Sb  0.000  0.000  0.000
Sb  0.500  0.000  0.500
Sb  0.500  0.500  0.000
O  0.110  0.640  0.360
O  0.890  0.360  0.640
O  0.826  0.925  0.075
O  0.174  0.075  0.925
O  0.418  0.329  0.671
O  0.582  0.671  0.329
O  0.431  0.921  0.675
O  0.431  0.325  0.079
O  0.569  0.079  0.325
O  0.569  0.675  0.921
O  0.825  0.330  0.076
O  0.825  0.924  0.670
O  0.175  0.670  0.924
O  0.175  0.076  0.330



Computed, not measured: La2MnSbO6 after structural relaxation at the PBE+U level of DFT.

- total magnetic moment (μB/atom) = 0.43
- VASP energy (eV per atom) = -7.423

Unit cell a=5.296 b=5.462 c=5.462 alpha=90.00 beta=90.00 gamma=90.00
Positions (direct):
La  0.008  0.500  0.000
La  0.008  0.000  0.500
Mn  0.563  0.500  0.500
Sb  0.579  0.000  0.000
O  0.733  0.246  0.246
O  0.733  0.246  0.754
O  0.178  0.500  0.500
O  0.180  0.000  0.000
O  0.733  0.754  0.754
O  0.733  0.754  0.246



Computed, not measured: LaMnSbO after structural relaxation at the PBE+U level of DFT.

- total magnetic moment (μB/atom) = 1.20
- VASP energy (eV per atom) = -7.039

Unit cell a=4.315 b=4.315 c=9.761 alpha=90.00 beta=90.00 gamma=90.00
Positions (direct):
La  0.000  0.500  0.886
La  0.500  0.000  0.114
Mn  0.000  0.000  0.500
Mn  0.500  0.500  0.500
Sb  0.500  0.000  0.688
Sb  0.000  0.500  0.312
O  0.500  0.500  0.000
O  0.000  0.000  0.000